No. 1
Material: Pm12Ru7Pb
Method: DFT, PBE
State: relaxed

## Properties
As for the space group: R-3 (148). Its raw total energy is -6.408 eV per atom. As for the energy relative to the elements: -126 meV per atom. The crystal system is trigonal. The total moment comes out at 0.00 μB per formula unit.

Cell: 8.7131 8.7131 8.7131 Å, 108.97 108.97 108.97°
Element x y z (fractional)
1 Pm 0.0943 0.3957 0.2987
2 Pm 0.1408 0.3097 0.6694
3 Pm 0.2987 0.0943 0.3957
4 Pm 0.3097 0.6694 0.1408
5 Pm 0.3306 0.8592 0.6903
6 Pm 0.3957 0.2987 0.0943
7 Pm 0.6043 0.7013 0.9057
8 Pm 0.6694 0.1408 0.3097
9 Pm 0.6903 0.3306 0.8592
10 Pm 0.7013 0.9057 0.6043
11 Pm 0.8592 0.6903 0.3306
12 Pm 0.9057 0.6043 0.7013
13 Ru 0.0211 0.3074 0.9273
14 Ru 0.0727 0.9789 0.6926
15 Ru 0.3074 0.9273 0.0211
16 Ru 0.5000 0.5000 0.5000
17 Ru 0.6926 0.0727 0.9789
18 Ru 0.9273 0.0211 0.3074
19 Ru 0.9789 0.6926 0.0727
20 Pb 0.0000 0.0000 0.0000

No. 2
Material: CsPu2I6
Method: DFT, PBE
State: relaxed

## Properties
As for the space group: P-31m (162). Its raw total energy is -5.549 eV per atom. The crystal system is trigonal. The total moment comes out at 11.00 μB per formula unit.

Cell: 8.1279 8.1279 8.5736 Å, 90.00 90.00 120.00°
Element x y z (fractional)
1 Cs 0.0000 0.0000 0.0000
2 Pu 0.3333 0.6667 0.5000
3 Pu 0.6667 0.3333 0.5000
4 I 0.0000 0.3774 0.7175
5 I 0.0000 0.6226 0.2825
6 I 0.3774 0.0000 0.7175
7 I 0.3774 0.3774 0.2825
8 I 0.6226 0.0000 0.2825
9 I 0.6226 0.6226 0.7175

No. 3
Material: Pm3Hg
Method: DFT, PBE
State: relaxed

## Properties
The value obtained for the energy above the most stable polymorph in this dataset is 209 meV per atom. As for the space group: Pmm2 (25). Its raw total energy is -3.651 eV per atom. As for the energy relative to the elements: -12 meV per atom. The crystal system is orthorhombic. The total moment comes out at 0.00 μB per formula unit.

Cell: 3.5590 3.5738 10.3695 Å, 90.00 90.00 90.00°
Element x y z (fractional)
1 Pm 0.0000 0.0000 0.0000
2 Pm 0.0000 0.5000 0.4485
3 Pm 0.5000 0.5000 0.7497
4 Hg 0.5000 0.0000 0.2574

No. 4
Material: HfIn2Rh
Method: DFT, PBE
State: relaxed

## Properties
As for the space group: Fm-3m (225). Its raw total energy is -5.809 eV per atom. As for the energy relative to the elements: -114 meV per atom. The crystal system is cubic. The total moment comes out at 0.00 μB per formula unit.

Cell: 4.7853 4.7853 4.7853 Å, 60.00 60.00 60.00°
Element x y z (fractional)
1 Hf 0.0000 0.0000 0.0000
2 In 0.2500 0.2500 0.2500
3 In 0.7500 0.7500 0.7500
4 Rh 0.5000 0.5000 0.5000